Entry from Alexandria via LeMat-Bulk: a relaxed LiAsBr3 crystal (PBE).

a b c (Å): 4.964 4.964 4.964
angles (deg): 90.00 90.00 90.00
Atoms (fractional coordinates):
Li  0.000  0.000  0.000
As  0.500  0.500  0.500
Br  0.000  0.000  0.500
Br  0.000  0.500  0.000
Br  0.500  0.000  0.000

Calculated values
For the total energy, the calculation gives -2.403 eV per atom. As for the energy relative to the elements, uncorrected: -0.087 eV/atom. Its total magnetization is 0.972 Bohr magnetons per cell.

=====

Entry from Alexandria via LeMat-Bulk: a relaxed La4Pr4Y crystal (PBE).

a b c (Å): 3.829 7.051 13.142
angles (deg): 100.12 98.27 105.74
Atoms (fractional coordinates):
La  0.109  0.250  0.468
La  0.304  0.837  0.271
La  0.696  0.163  0.729
La  0.891  0.750  0.532
Pr  0.161  0.929  0.894
Pr  0.408  0.584  0.729
Pr  0.592  0.416  0.271
Pr  0.839  0.071  0.106
Y  0.500  0.500  0.000

Calculated values
For the total energy, the calculation gives -4.944 eV per atom. Its total magnetization is 0.000 Bohr magnetons per cell.